No. 1
DFT (PBE) results for a relaxed NdMgSc2Ga4 crystal.

Structure (extended XYZ):
```
8
Lattice="-1.6953 -0.0346 -4.5032 -3.8980 -2.6050 -1.0834 -6.7029 5.6235 -0.0906" Properties=species:S:1:pos:R:3 pbc="T T T"
Ga -4.8642 3.1521 -0.7638
Ga -7.4320 -0.1682 -4.9134
Ga -7.8652 3.7999 -2.2099
Ga -4.4310 -0.8159 -3.4673
Mg -6.1481 1.4920 -2.8386
Sc -3.1813 0.8902 -1.3800
Sc -9.1149 2.0938 -4.2972
Nd 0.0000 0.0000 0.0000
```

Output
Total magnetic moment in Bohr magnetons per cell: 0.00
Formation enthalpy at 0 K in eV/f.u.: -3.6
E_tot in eV per cell: -34.753

No. 2
DFT (PBE) results for a relaxed NdMg2Ga2Si crystal.

Structure (extended XYZ):
```
6
Lattice="-1.8371 -4.8865 0.4315 1.7445 -0.2201 4.9343 -4.6780 4.4845 -0.9265" Properties=species:S:1:pos:R:3 pbc="T T T"
Mg -1.4899 0.8555 3.3454
Mg -3.2807 -1.4777 1.0940
Nd -0.0463 -2.5533 2.6829
Si 0.0000 0.0000 0.0000
Ga -2.7156 -1.4621 3.6753
Ga -2.0549 0.8400 0.7640
```

Output
Total magnetic moment in Bohr magnetons per cell: 0.00
Formation energy without anion corrections in eV/atom: 0.1019
E_tot in eV per cell: -18.822

No. 3
DFT (PBE) results for a relaxed NdMgZn2Ga2 crystal.

Structure (extended XYZ):
```
6
Lattice="4.4022 0.0000 0.0000 -2.2011 3.8124 0.0000 0.0000 0.0000 7.0153" Properties=species:S:1:pos:R:3 pbc="T T T"
Zn 0.0000 2.5416 5.0098
Zn 2.2011 1.2708 2.0056
Mg 0.0000 0.0000 3.5077
Ga 0.0000 2.5416 1.8475
Ga 2.2011 1.2708 5.1678
Nd 0.0000 0.0000 0.0000
```

Output
Total magnetic moment in Bohr magnetons per cell: 0.00
Formation enthalpy at 0 K in eV/f.u.: -2.5
E_tot in eV per cell: -17.471

Q: Which value of E_tot does entry 1 give?
A: -34.753 eV per cell

Q: Which formula does entry 1 have?
A: NdMgSc2Ga4

Q: Number 3 is which compound?
A: NdMgZn2Ga2